[1]
Density functional theory data (GGA-PBE) for Pr2NdRu after structural relaxation.

The value obtained for the volume is 29.9 Å³/atom. The density of states at the Fermi level comes out at 16.16 states/eV/cell. For the mass density, the calculation gives 7308 kg/m3. The value obtained for the formation energy from the elements is -0.17 eV per atom.

The space group is Pnma (No. 62) and the conventional cell measures 7.441, 9.884 and 6.514 Å, with angles of 90.00, 90.00 and 90.00 degrees. Symmetry generates all atoms from Pr at (0.176, 0.068, 0.171), Nd at (0.043, 0.250, 0.647) and Ru at (0.115, 0.750, 0.947).

=====

[2]
Density functional theory data (GGA-PBE) for Pr2Nd6Ru after structural relaxation.

The value obtained for the volume is 35.1 Å³/atom. The density of states at the Fermi level comes out at 27.32 states/eV/cell. For the mass density, the calculation gives 6571 kg/m3. The value obtained for the formation energy from the elements is 0.14 eV per atom.

The space group is Cmmm (No. 65) and the conventional cell measures 9.461, 17.805 and 3.746 Å, with angles of 90.00, 90.00 and 90.00 degrees. Symmetry generates all atoms from Pr at (0.000, 0.171, 0.000), Nd at (0.165, 0.333, 0.500), Nd at (0.215, 0.500, 0.000) and Ru at (0.000, 0.500, 0.500).

=====

[3]
Density functional theory data (GGA-PBE) for PrNd2Ru after structural relaxation.

The value obtained for the volume is 29.5 Å³/atom. The density of states at the Fermi level comes out at 3.91 states/eV/cell. For the mass density, the calculation gives 7453 kg/m3. The value obtained for the formation energy from the elements is -0.06 eV per atom.

The space group is P4/mmm (No. 123) and the conventional cell measures 3.542, 3.542 and 9.418 Å, with angles of 90.00, 90.00 and 90.00 degrees. Symmetry generates all atoms from Pr at (0.000, 0.000, 0.000), Nd at (0.500, 0.500, 0.319) and Ru at (0.000, 0.000, 0.500).

=====

[4]
Density functional theory data (GGA-PBE) for Pr3NdRu8 after structural relaxation.

The value obtained for the volume is 19.1 Å³/atom. The density of states at the Fermi level comes out at 51.46 states/eV/cell. For the mass density, the calculation gives 9989 kg/m3. The value obtained for the formation energy from the elements is -0.11 eV per atom.

The space group is R3m (No. 160, hexagonal axes) and the conventional cell measures 5.4411, 5.4411 and 26.7542 Å, with angles of 90.00, 90.00 and 120.00 degrees. Symmetry generates all atoms from Pr at (0.0000, 0.0000, 0.0000), Pr at (0.0000, 0.0000, 0.1248), Pr at (0.0000, 0.0000, 0.6248), Nd at (0.0000, 0.0000, 0.5001), Ru at (0.0000, 0.0000, 0.3184), Ru at (0.0000, 0.0000, 0.8185), Ru at (0.1714, 0.3428, 0.3970) and Ru at (0.1719, 0.3438, 0.8965).

=====

[5]
Density functional theory data (GGA-PBE) for PrNd8Ru2 after structural relaxation.

The value obtained for the volume is 31.9 Å³/atom. The density of states at the Fermi level comes out at 25.89 states/eV/cell. For the mass density, the calculation gives 7081 kg/m3. The value obtained for the formation energy from the elements is -0.04 eV per atom.

The space group is C2/m (No. 12) and the conventional cell measures 15.414, 7.040 and 6.491 Å, with angles of 90.00, 94.56 and 90.00 degrees. Symmetry generates all atoms from Pr at (0.000, 0.000, 0.000), Nd at (0.078, 0.500, 0.845), Nd at (0.126, 0.245, 0.406), Nd at (0.215, 0.000, 0.880) and Ru at (0.233, 0.500, 0.673).

=====

[6]
Density functional theory data (GGA-PBE) for Pr3Nd5Ru2 after structural relaxation.

The value obtained for the volume is 33.3 Å³/atom. The density of states at the Fermi level comes out at 38.18 states/eV/cell. For the mass density, the calculation gives 6708 kg/m3. The value obtained for the formation energy from the elements is -0.04 eV per atom.

The space group is Ibam (No. 72) and the conventional cell measures 10.487, 15.401 and 8.252 Å, with angles of 90.00, 90.00 and 90.00 degrees. Symmetry generates all atoms from Pr at (0.000, 0.000, 0.250), Pr at (0.237, 0.373, 0.000), Nd at (0.000, 0.253, 0.250), Nd at (0.000, 0.500, 0.250), Nd at (0.237, 0.377, 0.500) and Ru at (0.001, 0.133, 0.000).

=====

[7]
Density functional theory data (GGA-PBE) for Pr3NdRu after structural relaxation.

The value obtained for the volume is 34.9 Å³/atom. The density of states at the Fermi level comes out at 8.80 states/eV/cell. For the mass density, the calculation gives 6348 kg/m3. The value obtained for the formation energy from the elements is 0.05 eV per atom.

The space group is Pm-3m (No. 221) and the conventional cell measures 5.591, 5.591 and 5.591 Å, with angles of 90.00, 90.00 and 90.00 degrees. Symmetry generates all atoms from Pr at (0.000, 0.000, 0.500), Nd at (0.500, 0.500, 0.500) and Ru at (0.000, 0.000, 0.000).

=====

[8]
Density functional theory data (GGA-PBE) for Pr2Nd5Ru4 after structural relaxation.

The value obtained for the volume is 28.8 Å³/atom. The density of states at the Fermi level comes out at 16.67 states/eV/cell. For the mass density, the calculation gives 7374 kg/m3. The value obtained for the formation energy from the elements is 0.07 eV per atom.

The space group is C2/m (No. 12) and the conventional cell measures 24.625, 3.577 and 7.196 Å, with angles of 90.00, 90.98 and 90.00 degrees. Symmetry generates all atoms from Pr at (0.083, 0.000, 0.131), Nd at (0.000, 0.500, 0.500), Nd at (0.132, 0.000, 0.658), Nd at (0.231, 0.000, 0.208), Ru at (0.027, 0.000, 0.800) and Ru at (0.169, 0.500, 0.956).